# Rb2BaCoO4

Rb2BaCoO4 after structural relaxation (GGA+U, Alexandria via LeMat-Bulk).

## Properties
E (eV per atom): -4.8143
Spin magnetization (μB/cell): 23.81
Crystal system: orthorhombic

abc: 6.523 13.018 25.857
angles: 90.00 90.00 90.00
Space group Fddd (No. 70, origin choice 2)
Asymmetric unit:
Rb: 0.125 0.125 0.329 (multiplicity 16)
Ba: 0.125 0.125 0.125 (multiplicity 8)
Co: 0.125 0.125 0.625 (multiplicity 8)
O: 0.056 0.281 0.851 (multiplicity 32)